a) ! Te5Au GGA-PBE relaxed; values from VASP
&SYSTEM
  ibrav = 0, nat = 6, ntyp = 2
/
ATOMIC_SPECIES
Te 127.60 Te.upf
Au 196.97 Au.upf
ATOMIC_POSITIONS angstrom
Te -0.1353 -2.5619 -2.8650
Te -0.6111 -3.3710 -6.4241
Te 1.4646 -5.1636 -4.9192
Te -0.3380 -6.4000 -7.1571
Au 0.0000 0.0000 0.0000
Te -1.5980 -5.5606 -4.4195
CELL_PARAMETERS angstrom
0.5482 -6.0806 -1.4716
-3.6187 -2.4820 -4.4926
2.5293 -1.6850 -5.4957
! mass density = 7.92 g cm⁻³
! SG = F-43m, No. 216



b) ! Te5Au GGA-PBE relaxed; values from VASP
&SYSTEM
  ibrav = 0, nat = 6, ntyp = 2
/
ATOMIC_SPECIES
Te 127.60 Te.upf
Au 196.97 Au.upf
ATOMIC_POSITIONS angstrom
Te 2.9106 0.0000 3.3782
Te 1.4553 -2.5206 3.3782
Te 2.9106 -1.6804 0.0000
Au 0.0000 0.0000 0.0000
Te 2.9106 1.6804 0.0000
Te 1.4553 2.5206 3.3782
CELL_PARAMETERS angstrom
2.9106 -5.0413 0.0000
2.9106 5.0413 0.0000
0.0000 0.0000 6.7564
! mass density = 6.99 g cm⁻³
! SG = P6/mmm, No. 191



c) ! Te5Au GGA-PBE relaxed; values from VASP
&SYSTEM
  ibrav = 0, nat = 6, ntyp = 2
/
ATOMIC_SPECIES
Te 127.60 Te.upf
Au 196.97 Au.upf
ATOMIC_POSITIONS angstrom
Te 1.7793 0.8699 4.2751
Te 4.1182 2.0134 8.2876
Te 1.4965 0.7316 10.2860
Au 6.4871 3.1715 0.8549
Te 6.2983 3.0792 6.4040
Te 4.3980 2.1502 2.2758
CELL_PARAMETERS angstrom
4.3043 -0.3200 0.1225
2.3911 3.5933 0.1225
-0.3840 -0.1878 11.0980
! mass density = 7.69 g cm⁻³
! SG = C2/m, No. 12



Going by the energies, c) is most stable and the next is 0.538 eV/atom up.



a) ! Te3Au4 GGA-PBE relaxed; values from VASP
&SYSTEM
  ibrav = 0, nat = 7, ntyp = 2
/
ATOMIC_SPECIES
Au 196.97 Au.upf
Te 127.60 Te.upf
ATOMIC_POSITIONS angstrom
Au 3.1678 1.8289 2.5432
Te 1.5839 2.7434 0.0000
Au 0.0000 0.0000 1.2811
Te 1.5839 -2.7434 0.0000
Au 3.1678 -1.8289 2.5432
Au 0.0000 0.0000 3.8053
Te 3.1678 0.0000 0.0000
CELL_PARAMETERS angstrom
3.1678 -5.4868 0.0000
3.1678 5.4868 0.0000
0.0000 0.0000 5.0864
! mass density = 10.99 g cm⁻³
! SG = P6/mmm, No. 191



b) ! Te3Au4 GGA-PBE relaxed; values from VASP
&SYSTEM
  ibrav = 0, nat = 7, ntyp = 2
/
ATOMIC_SPECIES
Au 196.97 Au.upf
Te 127.60 Te.upf
ATOMIC_POSITIONS angstrom
Au -1.8829 -1.2090 3.6523
Au -4.5038 -2.8918 8.7360
Te -6.8581 -4.4034 13.3027
Au -5.6815 -3.6479 11.0204
Te 0.0000 0.0000 0.0000
Te -3.3272 -2.1363 6.4538
Au -8.3024 -5.3308 16.1041
CELL_PARAMETERS angstrom
-2.8046 -4.7116 10.5806
-7.3807 -1.8281 9.1759
4.0615 1.0101 -11.1578
! mass density = 10.75 g cm⁻³
! SG = I4/mmm, No. 139



Going by the energies, b) is most stable and the next is 0.435 eV/atom up.



a) ! Tl2TeAu GGA-PBE relaxed; values from VASP
&SYSTEM
  ibrav = 0, nat = 8, ntyp = 3
/
ATOMIC_SPECIES
Tl 204.38 Tl.upf
Te 127.60 Te.upf
Au 196.97 Au.upf
ATOMIC_POSITIONS angstrom
Tl 2.5321 -4.1466 -3.9950
Tl 2.3215 -3.9853 0.5622
Tl -1.9497 -3.2096 -3.9756
Te 4.8374 -3.1897 -1.5538
Te 0.0162 -4.9422 -1.8791
Au 0.6077 -2.1504 -1.2714
Tl 6.8034 -4.9223 0.5428
Au 4.2460 -5.9815 -2.1614
CELL_PARAMETERS angstrom
-0.7614 -3.6868 2.1642
-2.7971 -2.6246 -5.4552
8.4122 -1.8205 -0.1417
! mass density = 10.29 g cm⁻³
! SG = P2_1/m, No. 11



b) ! Tl2TeAu GGA-PBE relaxed; values from VASP
&SYSTEM
  ibrav = 0, nat = 4, ntyp = 3
/
ATOMIC_SPECIES
Te 127.60 Te.upf
Tl 204.38 Tl.upf
Au 196.97 Au.upf
ATOMIC_POSITIONS angstrom
Te 0.8583 -0.0131 6.1368
Tl -0.8964 -0.2779 3.4897
Au 2.3009 0.3472 3.4709
Tl 4.1914 0.6324 6.3228
CELL_PARAMETERS angstrom
-2.7287 2.1903 1.5898
-1.6872 -3.1418 1.4327
4.3480 0.6561 6.5591
! mass density = 10.44 g cm⁻³
! SG = P4mm, No. 99



Going by the energies, a) is most stable and the next is 0.125 eV/atom up.



a) ! Tl3Te2Au GGA-PBE relaxed; values from VASP
&SYSTEM
  ibrav = 0, nat = 12, ntyp = 3
/
ATOMIC_SPECIES
Tl 204.38 Tl.upf
Au 196.97 Au.upf
Te 127.60 Te.upf
ATOMIC_POSITIONS angstrom
Tl -2.4536 -2.4641 8.9798
Au 0.0000 0.0000 0.0000
Te -3.5198 -0.8383 6.1824
Tl -5.4526 -8.2798 15.8920
Tl -2.2746 -4.1266 5.6545
Te -1.2218 -5.6280 8.7008
Tl -3.8636 -6.2032 10.7733
Te -5.0954 -3.0394 11.0523
Tl -4.0426 -4.5407 14.0985
Te -2.7974 -7.8290 13.5706
Tl -0.8646 -0.3875 3.8611
Au -1.4100 -3.7391 1.7935
CELL_PARAMETERS angstrom
-2.8200 -7.4782 3.5869
1.9718 -1.6487 8.8103
-5.4690 0.4595 7.3558
! mass density = 7.29 g cm⁻³
! SG = Ibam, No. 72



b) ! Tl3Te2Au GGA-PBE relaxed; values from VASP
&SYSTEM
  ibrav = 0, nat = 12, ntyp = 3
/
ATOMIC_SPECIES
Te 127.60 Te.upf
Tl 204.38 Tl.upf
Au 196.97 Au.upf
ATOMIC_POSITIONS angstrom
Te 2.3815 3.6572 5.6069
Te 1.5167 0.0000 1.6544
Tl 6.0858 0.0000 2.2110
Tl 3.8982 5.4858 0.0000
Te 6.2797 3.6572 1.6544
Te -2.3815 0.0000 5.6069
Au 0.0000 1.8286 0.0000
Tl 2.1876 0.0000 5.0503
Tl 3.8982 1.8286 0.0000
Au 0.0000 5.4858 0.0000
Tl 1.7106 3.6572 2.2110
Tl -2.1876 3.6572 5.0503
CELL_PARAMETERS angstrom
7.7964 0.0000 0.0000
0.0000 7.3144 0.0000
-3.8982 -3.6572 7.2613
! mass density = 8.54 g cm⁻³
! SG = Ibam, No. 72



Going by the energies, a) is most stable and the next is 0.007 eV/atom up.



a) ! TlTeAu3 GGA-PBE relaxed; values from VASP
&SYSTEM
  ibrav = 0, nat = 5, ntyp = 3
/
ATOMIC_SPECIES
Au 196.97 Au.upf
Te 127.60 Te.upf
Tl 204.38 Tl.upf
ATOMIC_POSITIONS angstrom
Au -0.2752 -1.5886 -2.0866
Te 2.2035 -3.9533 -0.6133
Au 2.6188 -0.2785 -0.1334
Au -0.1401 -2.0862 1.6067
Tl 0.0000 0.0000 0.0000
CELL_PARAMETERS angstrom
-0.5504 -3.1772 -4.1733
5.2376 -0.5571 -0.2667
-0.2801 -4.1724 3.2135
! mass density = 10.45 g cm⁻³
! SG = Pm-3m, No. 221



b) ! TlTeAu3 GGA-PBE relaxed; values from VASP
&SYSTEM
  ibrav = 0, nat = 5, ntyp = 3
/
ATOMIC_SPECIES
Au 196.97 Au.upf
Tl 204.38 Tl.upf
Te 127.60 Te.upf
ATOMIC_POSITIONS angstrom
Au -1.1010 -1.6474 -1.8256
Au -2.3702 1.2437 0.3071
Tl -4.1261 -2.1352 0.4391
Au -0.6549 -1.7315 1.9575
Te 0.0000 0.0000 0.0000
CELL_PARAMETERS angstrom
-2.2020 -3.2949 -3.6511
-1.3098 -3.4630 3.9151
-4.7404 2.4874 0.6142
! mass density = 9.79 g cm⁻³
! SG = Pm-3m, No. 221



Going by the energies, b) is most stable and the next is 0.523 eV/atom up.



a) ! Tl3Te4Au2 GGA-PBE relaxed; values from VASP
&SYSTEM
  ibrav = 0, nat = 9, ntyp = 3
/
ATOMIC_SPECIES
Tl 204.38 Tl.upf
Au 196.97 Au.upf
Te 127.60 Te.upf
ATOMIC_POSITIONS angstrom
Tl 0.0000 0.0000 0.0000
Au -6.5703 -1.0637 0.4736
Te -6.4864 0.5038 2.8001
Tl -3.5887 -1.2905 1.8626
Au -1.1373 2.6683 5.3345
Tl -4.1189 2.8951 3.9455
Te -2.8993 0.2793 -1.3964
Te -4.8083 1.3252 7.2045
Te -1.2212 1.1008 3.0080
CELL_PARAMETERS angstrom
-2.3411 3.3626 -2.1810
-5.6575 -4.5921 -1.0069
0.2911 2.8341 8.9960
! mass density = 8.62 g cm⁻³
! SG = C2/m, No. 12



b) ! Tl3Te4Au2 GGA-PBE relaxed; values from VASP
&SYSTEM
  ibrav = 0, nat = 18, ntyp = 3
/
ATOMIC_SPECIES
Tl 204.38 Tl.upf
Au 196.97 Au.upf
Te 127.60 Te.upf
ATOMIC_POSITIONS angstrom
Tl -3.5606 -12.7750 -5.7542
Au 1.2426 -11.0558 -1.1086
Te -2.5194 -6.7246 1.4175
Te -2.9412 -4.9940 -3.0838
Tl -0.5037 -2.1469 0.7352
Te -4.0875 -5.1054 -6.2817
Te -4.0089 -9.6445 -4.5959
Te -1.5448 -8.1973 -6.4364
Au -1.4104 -10.5364 -4.6596
Au -2.6538 -4.3855 -0.3593
Au -5.3068 -3.8660 -3.9103
Te -1.1230 -9.9279 -1.9352
Te -0.0554 -5.2774 -0.4230
Tl -0.8794 -13.2659 -2.3108
Tl -0.0217 -7.0275 -3.3487
Tl -3.1848 -1.6560 -2.7081
Te 0.0232 -9.8165 1.2628
Tl -4.0425 -7.8944 -1.6702
CELL_PARAMETERS angstrom
-6.6818 -0.3556 -1.8419
2.6801 -5.8931 -6.8316
-0.0625 -8.6731 3.6546
! mass density = 8.59 g cm⁻³
! SG = C2/c, No. 15



Going by the energies, a) is most stable and the next is 0.012 eV/atom up.



a) ! TlTe2Au2 GGA-PBE relaxed; values from VASP
&SYSTEM
  ibrav = 0, nat = 10, ntyp = 3
/
ATOMIC_SPECIES
Au 196.97 Au.upf
Te 127.60 Te.upf
Tl 204.38 Tl.upf
ATOMIC_POSITIONS angstrom
Au -3.1731 -0.7413 4.6716
Te -1.3373 3.9768 2.8513
Te 2.0361 3.3771 5.1131
Au 0.1751 5.5282 4.3870
Au 3.4521 3.5528 2.8668
Tl -1.0569 1.2294 6.0286
Tl 1.3359 1.5821 1.5099
Te -1.7571 -0.5657 2.4253
Te 1.6162 -1.1654 4.6872
Au 0.1039 -2.7168 3.1515
CELL_PARAMETERS angstrom
-3.0437 -5.0557 4.1612
6.8761 1.8326 1.2251
-3.5534 6.0346 2.1522
! mass density = 9.23 g cm⁻³
! SG = C2/c, No. 15



b) ! TlTe2Au2 GGA-PBE relaxed; values from VASP
&SYSTEM
  ibrav = 0, nat = 5, ntyp = 3
/
ATOMIC_SPECIES
Au 196.97 Au.upf
Te 127.60 Te.upf
Tl 204.38 Tl.upf
ATOMIC_POSITIONS angstrom
Au 2.0999 4.1999 3.9587
Te 4.1999 4.1999 5.9214
Tl 0.0000 0.0000 0.0000
Te 2.0999 2.0999 1.9960
Au 4.1999 2.0999 3.9587
CELL_PARAMETERS angstrom
4.1999 0.0000 0.0000
0.0000 4.1999 0.0000
2.0999 2.0999 7.9175
! mass density = 10.15 g cm⁻³
! SG = I4/mmm, No. 139



Going by the energies, a) is most stable and the next is 0.073 eV/atom up.



a) ! TlTe2Au2 GGA-PBE relaxed; values from VASP
&SYSTEM
  ibrav = 0, nat = 10, ntyp = 3
/
ATOMIC_SPECIES
Au 196.97 Au.upf
Te 127.60 Te.upf
Tl 204.38 Tl.upf
ATOMIC_POSITIONS angstrom
Au 3.8119 0.9574 1.5187
Te 7.4331 6.8748 0.0000
Au 0.9574 5.7266 1.5187
Te 2.6638 7.4331 0.0000
Te 2.1055 2.6638 0.0000
Au 8.5812 3.8119 1.5187
Au 5.7266 8.5812 1.5187
Te 6.8748 2.1055 0.0000
Tl 4.7693 4.7693 0.0000
Tl 0.0000 0.0000 0.0000
CELL_PARAMETERS angstrom
9.5386 0.0000 0.0000
0.0000 9.5386 0.0000
0.0000 0.0000 3.0374
! mass density = 10.26 g cm⁻³
! SG = P4/mbm, No. 127



b) ! TlTe2Au2 GGA-PBE relaxed; values from VASP
&SYSTEM
  ibrav = 0, nat = 10, ntyp = 3
/
ATOMIC_SPECIES
Te 127.60 Te.upf
Au 196.97 Au.upf
Tl 204.38 Tl.upf
ATOMIC_POSITIONS angstrom
Te 1.1617 4.9669 0.6313
Te 1.8506 0.9059 2.6026
Au -1.3483 4.1216 -0.3692
Au -0.7947 1.1861 3.1749
Te 4.5677 2.1549 -0.9547
Te -1.5554 3.7179 4.1886
Tl 0.7291 1.4215 -0.9546
Au 3.4863 0.0466 4.7478
Au 2.9327 2.9820 1.2037
Tl 2.2348 4.3569 -2.9258
CELL_PARAMETERS angstrom
6.9880 0.1234 -1.9712
-3.9768 5.7475 -1.9712
-0.0633 -0.1234 7.2605
! mass density = 9.71 g cm⁻³
! SG = I4cm, No. 108



Going by the energies, b) is most stable and the next is 0.231 eV/atom up.



a) ! TlTe2Au2 GGA-PBE relaxed; values from VASP
&SYSTEM
  ibrav = 0, nat = 5, ntyp = 3
/
ATOMIC_SPECIES
Tl 204.38 Tl.upf
Te 127.60 Te.upf
Au 196.97 Au.upf
ATOMIC_POSITIONS angstrom
Tl 0.0000 0.0000 0.0000
Te -3.1788 1.8622 4.8802
Au -5.2781 0.3926 6.3802
Te -4.8368 -0.7333 3.6682
Au -2.7375 0.7364 2.1681
CELL_PARAMETERS angstrom
-1.1927 3.9534 2.2041
-4.5088 -1.2377 -0.2198
-2.3141 -1.5868 6.5641
! mass density = 10.23 g cm⁻³
! SG = I4/mmm, No. 139



b) ! TlTe2Au2 GGA-PBE relaxed; values from VASP
&SYSTEM
  ibrav = 0, nat = 10, ntyp = 3
/
ATOMIC_SPECIES
Te 127.60 Te.upf
Tl 204.38 Tl.upf
Au 196.97 Au.upf
ATOMIC_POSITIONS angstrom
Te -1.5454 -1.1619 2.9792
Tl -4.8381 -2.3513 2.3815
Te -4.9534 -0.7726 5.5609
Au -4.0824 0.7629 3.2236
Te -2.7207 -5.1814 2.0337
Au -5.5938 -5.4654 1.5394
Tl 0.0000 0.0000 0.0000
Te -6.1288 -4.7921 4.6154
Au -7.5157 -2.2282 4.3292
Au -2.1604 -2.4744 0.4339
CELL_PARAMETERS angstrom
-5.8355 2.6578 5.3007
-3.8406 -7.3603 -0.5376
2.0020 -1.2514 2.8315
! mass density = 11.11 g cm⁻³
! SG = P4/mbm, No. 127



Going by the energies, b) is most stable and the next is 0.027 eV/atom up.



a) ! Tl3TeAu GGA-PBE relaxed; values from VASP
&SYSTEM
  ibrav = 0, nat = 5, ntyp = 3
/
ATOMIC_SPECIES
Tl 204.38 Tl.upf
Te 127.60 Te.upf
Au 196.97 Au.upf
ATOMIC_POSITIONS angstrom
Tl -0.5776 0.3556 2.6977
Tl 0.9917 -2.5406 0.5473
Tl -2.5339 -1.0755 -0.4008
Te -2.1198 -3.2604 2.8442
Au 0.0000 0.0000 0.0000
CELL_PARAMETERS angstrom
-5.0678 -2.1509 -0.8016
1.9835 -5.0813 1.0946
-1.1553 0.7113 5.3955
! mass density = 9.04 g cm⁻³
! SG = Pm-3m, No. 221



b) ! Tl3TeAu GGA-PBE relaxed; values from VASP
&SYSTEM
  ibrav = 0, nat = 20, ntyp = 3
/
ATOMIC_SPECIES
Tl 204.38 Tl.upf
Te 127.60 Te.upf
Au 196.97 Au.upf
ATOMIC_POSITIONS angstrom
Tl 5.5857 6.8681 0.4451
Te 2.7851 6.6215 2.5674
Te 0.0119 6.5117 8.5995
Au 2.7799 9.0887 4.1295
Tl 2.8054 6.7584 6.4771
Te 2.8089 2.7536 8.8928
Tl 5.5772 9.3421 3.6270
Tl 2.7894 3.7283 1.1662
Au 5.5769 0.3961 1.2986
Te 5.5822 2.8633 2.8607
Tl 2.7802 0.1427 1.8011
Au 0.0171 8.9790 10.1616
Tl 2.7886 2.6167 4.9830
Au 2.8141 0.2863 7.3306
Tl 5.5864 5.7565 4.2619
Tl 2.8046 5.6467 10.2940
Tl 0.0168 0.0330 7.8332
Tl 0.0084 2.5069 11.0151
Tl 2.8138 9.2323 9.6591
Tl 0.0076 3.6186 7.1983
CELL_PARAMETERS angstrom
5.5940 0.0000 0.0000
0.0000 9.5946 -0.6040
0.0000 -0.2195 12.0642
! mass density = 9.63 g cm⁻³
! SG = P2_1/c, No. 14



Going by the energies, b) is most stable and the next is 0.081 eV/atom up.



a) ! Tm4TeAu GGA-PBE relaxed; values from VASP
&SYSTEM
  ibrav = 0, nat = 24, ntyp = 3
/
ATOMIC_SPECIES
Tm 168.93 Tm.upf
Te 127.60 Te.upf
Au 196.97 Au.upf
ATOMIC_POSITIONS angstrom
Tm 0.5269 14.2471 12.7468
Tm 1.9460 8.2367 12.2107
Te 3.7366 3.6703 7.2663
Au -2.0373 14.8930 11.1714
Tm 1.5547 5.9130 7.2176
Tm -0.6478 0.6626 1.4354
Te 0.7569 2.2210 3.7573
Tm -3.0312 12.4234 8.4857
Te -2.3966 9.5714 9.7266
Tm -2.1077 12.0402 11.8430
Tm -0.2147 7.3286 9.7753
Tm -0.6059 5.0049 4.7821
Tm 0.7371 2.5699 6.9124
Tm 2.9322 4.6537 10.2726
Tm 4.3713 0.8182 8.5071
Te 0.5832 11.0207 13.2355
Au -1.3883 5.6346 7.5363
Tm 0.8132 -1.0055 4.2460
Au 2.7284 7.6070 9.4565
Au 3.3774 -1.6513 5.8214
Tm 0.6030 10.6718 10.0805
Tm 3.4478 1.2015 5.1498
Tm 1.9879 12.5791 15.5574
Tm -1.5921 8.5880 6.7203
CELL_PARAMETERS angstrom
-2.0988 -1.9853 2.6022
6.8181 -1.3010 4.5065
-3.3792 16.5280 9.8841
! mass density = 10.56 g cm⁻³
! SG = Pnma, No. 62



b) ! Tm4TeAu GGA-PBE relaxed; values from VASP
&SYSTEM
  ibrav = 0, nat = 12, ntyp = 3
/
ATOMIC_SPECIES
Te 127.60 Te.upf
Tm 168.93 Tm.upf
Au 196.97 Au.upf
ATOMIC_POSITIONS angstrom
Te -0.6500 -5.3869 8.0179
Tm 2.0032 -6.2699 6.9896
Tm 0.1764 -2.3426 7.1182
Tm -1.5912 -0.1174 9.3860
Te 0.4052 -0.1925 2.1157
Tm 2.7015 -4.9313 3.7879
Tm -2.9462 -0.6481 6.3456
Au 2.6688 -3.2909 6.1729
Au -2.9136 -2.2885 3.9606
Tm -2.2480 0.6905 3.1440
Tm 1.3464 -5.4620 0.7475
Tm -0.4212 -3.2368 3.0153
CELL_PARAMETERS angstrom
-5.4304 0.6857 2.3005
1.9039 -7.5505 0.4695
3.2817 1.2854 7.3636
! mass density = 9.25 g cm⁻³
! SG = P2_1/m, No. 11



Going by the energies, a) is most stable and the next is 0.245 eV/atom up.